Entry 1:
A plane-wave DFT calculation with PBE-GGA was carried out for a relaxed ErZnIn crystal.

Properties
* M_tot: 0.00 μB/f.u.
* calculated volume: 27.4 A^3/atom
* calculated total energy: -32.67 eV for the cell shown
* ρ: 7.0 Mg/m³

abc: 6.9048 6.9048 6.9048
angles: 90.00 90.00 90.00
Closest atoms and distances in Å follow each position.
Space group F-43m (No. 216)
Asymmetric unit:
Er: 0.0000 0.0000 0.0000 [4 per cell]  4 Zn 2.99, 4 In 2.99
Zn: 0.2500 0.2500 0.2500 [4 per cell]  4 Er 2.99
In: 0.2500 0.2500 0.7500 [4 per cell]  4 Er 2.99

Entry 2:
A plane-wave DFT calculation with PBE-GGA was carried out for a relaxed LiNbSeS crystal.

Properties
* M_tot: 0.00 μB/f.u.
* calculated volume: 17.0 A^3/atom
* calculated total energy: -48.72 eV for the cell shown
* energy above the lowest structure with this stoichiometry: 2 meV/atom
* ρ: 5.1 Mg/m³

abc: 3.4448 3.4448 13.2727
angles: 90.00 90.00 120.00
Closest atoms and distances in Å follow each position.
Space group P-3m1 (No. 164)
Asymmetric unit:
Li: 0.0000 0.0000 0.0000 [1 per cell]  6 S 2.57
Li: 0.0000 0.0000 0.5000 [1 per cell]  6 Se 2.65
Nb: 0.0000 0.0000 0.2392 [2 per cell]  3 S 2.52, 3 Se 2.62
Se: 0.3333 0.6667 0.6324 [2 per cell]  3 Nb 2.62, 3 Li 2.65
S: 0.3333 0.6667 0.8773 [2 per cell]  3 Nb 2.52, 3 Li 2.57

Q: Which formula does entry 2 have?
A: LiNbSeS